## ScCu2Os (meta-GGA SCAN)

Data for a PBEsol-optimized structure of ScCu2Os.

The structure in POSCAR format:
```
ScCu2Os
1.0
6.099 0.000 0.000
0.000 6.099 0.000
0.000 0.000 6.099
Sc Cu Os
4 8 4
Cartesian
0.000 0.000 0.000
0.000 3.049 3.049
3.049 0.000 3.049
3.049 3.049 0.000
0.000 0.000 3.049
0.000 3.049 0.000
1.525 1.525 1.525
1.525 4.574 4.574
3.049 0.000 0.000
3.049 3.049 3.049
4.574 1.525 4.574
4.574 4.574 1.525
1.525 1.525 4.574
1.525 4.574 1.525
4.574 1.525 1.525
4.574 4.574 4.574
```

Summary:
ΔE to the lowest computed polymorph, meV/atom: 133
Final energy, eV/cell: -464.1
Crystal system: cubic
Space group: F-43m (216)
Formation enthalpy at 0 K, kcal/mol of atoms: 2.78

## Ni2SnO (meta-GGA SCAN)

Data for a PBEsol-optimized structure of Ni2SnO.

The structure in POSCAR format:
```
Ni2SnO
1.0
5.782 0.000 0.000
0.000 5.782 0.000
0.000 0.000 5.782
Ni Sn O
8 4 4
Cartesian
1.445 1.445 1.445
1.445 1.445 4.336
1.445 4.336 1.445
1.445 4.336 4.336
4.336 1.445 1.445
4.336 1.445 4.336
4.336 4.336 1.445
4.336 4.336 4.336
0.000 0.000 0.000
0.000 2.891 2.891
2.891 0.000 2.891
2.891 2.891 0.000
0.000 0.000 2.891
0.000 2.891 0.000
2.891 0.000 0.000
2.891 2.891 2.891
```

Summary:
Energy relative to the elements, uncorrected, meV per atom: 183
Final energy, eV/cell: -295.1
Crystal system: cubic
Space group: Fm-3m (225)

## Ni2TeOs (meta-GGA SCAN)

Data for a PBEsol-optimized structure of Ni2TeOs.

The structure in POSCAR format:
```
Ni2TeOs
1.0
3.857 0.000 0.000
0.000 3.857 0.000
0.000 0.000 7.330
Ni Te Os
4 2 2
Cartesian
0.000 0.000 0.000
0.000 1.928 1.832
1.928 0.000 5.497
1.928 1.928 3.665
0.000 0.000 3.665
1.928 1.928 0.000
0.000 1.928 5.497
1.928 0.000 1.832
```

Summary:
Energy relative to the elements, uncorrected, meV per atom: 367
Final energy, eV/cell: -280.0
Crystal system: tetragonal
Space group: I-4m2 (119)